1.
Density functional theory data (PBE) for a geometry-optimized LiAl2SnN structure.

Summary:
**ΔE_f (raw)**: -0.24 eV/atom
**D(E_F)**: 1.90 states/eV/f.u.

a b c (Å): 4.1009 4.1009 4.2524
angles (deg): 90.00 90.00 90.00
With the nearest neighbours (Å) after each atom.
Space group P4/mmm (No. 123)
Asymmetric unit:
Li 0.0000 0.0000 0.0000 x1  2 N 2.13
Al 0.0000 0.5000 0.5000 x2  2 N 2.05
Sn 0.5000 0.5000 0.0000 x1  4 Li 2.90, 8 Al 2.95
N 0.0000 0.0000 0.5000 x1  4 Al 2.05, 2 Li 2.13

2.
Density functional theory data (PBE) for a geometry-optimized SrLi2AlN structure.

Summary:
**ΔE_f (raw)**: 0.20 eV/atom
**D(E_F)**: 1.60 states/eV/f.u.

a b c (Å): 5.2710 5.2710 3.7792
angles (deg): 90.00 90.00 90.00
With the nearest neighbours (Å) after each atom.
Space group P4/mmm (No. 123)
Asymmetric unit:
Sr 0.0000 0.0000 0.0000 x1  8 Li 3.24
Li 0.0000 0.5000 0.5000 x2  2 Al 2.64
Al 0.5000 0.5000 0.5000 x1  2 N 1.89
N 0.5000 0.5000 0.0000 x1  2 Al 1.89

3.
Density functional theory data (PBE) for a geometry-optimized LiAlTeN2 structure.

Summary:
**ΔE_f (raw)**: 1.51 eV/atom
**D(E_F)**: 3.05 states/eV/f.u.

a b c (Å): 3.8605 3.8605 5.0183
angles (deg): 90.00 90.00 90.00
With the nearest neighbours (Å) after each atom.
Space group P4/mmm (No. 123)
Asymmetric unit:
Li 0.0000 0.0000 0.0000 x1  4 N 1.93
Al 0.5000 0.5000 0.5000 x1  4 Te 2.73
Te 0.0000 0.0000 0.5000 x1  2 Li 2.51, 4 Al 2.73
N 0.0000 0.5000 0.0000 x2  2 Li 1.93